Record 1
First-principles (PBE-GGA) data for a geometry-optimized Mg2TlCdH structure, as listed in Alexandria via LeMat-Bulk.

Unit cell a=4.6076 b=4.6076 c=4.4177 alpha=90.00 beta=90.00 gamma=90.00
Sites, in units of the cell vectors:
Mg (0.0000, 0.5000, 0.0000)
Mg (0.5000, 0.0000, 0.0000)
Tl (0.0000, 0.0000, 0.5000)
Cd (0.5000, 0.5000, 0.5000)
H (0.5000, 0.5000, 0.0000)

Output
* offset from the most stable computed form: 0 meV per atom
* space-group type: P4/mmm, No. 123

=====

Record 2
First-principles (PBE-GGA) data for a geometry-optimized MnBeZn2 structure, as listed in Alexandria via LeMat-Bulk.

Unit cell a=4.8726 b=4.8726 c=2.5425 alpha=100.47 beta=100.47 gamma=118.36
Sites, in units of the cell vectors:
Mn (0.0000, 0.0000, 0.0000)
Be (0.5000, 0.5000, 0.0000)
Zn (0.0000, 0.5000, 0.5000)
Zn (0.5000, 0.0000, 0.5000)

Output
* space-group type: C2/m, No. 12

=====

Record 3
First-principles (PBE-GGA) data for a geometry-optimized Rb3NaTh2Se6 structure, as listed in Alexandria via LeMat-Bulk.

Unit cell a=10.4671 b=10.4671 c=9.4989 alpha=107.89 beta=107.89 gamma=24.30
Sites, in units of the cell vectors:
Rb (0.0000, 0.0000, 0.0000)
Rb (0.3436, 0.3436, 0.6690)
Rb (0.6564, 0.6564, 0.3310)
Na (0.0000, 0.0000, 0.5000)
Th (0.3381, 0.3381, 0.1770)
Th (0.6619, 0.6619, 0.8230)
Se (0.1692, 0.1692, 0.6259)
Se (0.1800, 0.1800, 0.0485)
Se (0.4803, 0.4803, 0.2586)
Se (0.5197, 0.5197, 0.7414)
Se (0.8200, 0.8200, 0.9515)
Se (0.8308, 0.8308, 0.3741)

Output
* uncorrected formation energy: -148 kJ/mol of atoms
* space-group type: C2/m, No. 12

=====

Number 1: final energy -9.4 eV per formula unit, magnetization 0.00 μB per formula unit. Number 2: final energy -14.9 eV per formula unit, magnetization 2.41 μB per formula unit. Number 3: final energy -58.4 eV per formula unit, magnetization 0.00 μB per formula unit.